Na2Ce3PmSe6 | PBE-GGA | relaxed

Output
formation energy (no corrections): -1.683 eV per atom
magnetic moment: 3.811 μB/f.u.
DOS(E_F): 1.798 states/eV/atom

The structure in POSCAR format:
```
Na2Ce3PmSe6
1.0
3.663 -6.341 0.000
3.663 6.341 0.000
-2.432 0.000 6.937
Na Ce Pm Se
2 3 1 6
Direct
0.166 0.834 0.000 Na
0.834 0.166 0.000 Na
0.000 0.000 0.500 Ce
0.331 0.669 0.500 Ce
0.669 0.331 0.500 Ce
0.500 0.500 0.000 Pm
0.087 0.417 0.751 Se
0.255 0.255 0.253 Se
0.417 0.087 0.751 Se
0.583 0.913 0.249 Se
0.745 0.745 0.747 Se
0.913 0.583 0.249 Se
```

NaCePmSn | PBE-GGA | relaxed

Output
energy of formation from the pure elements: -0.215 eV/atom
magnetic moment: 1.533 μB/f.u.
DOS(E_F): 2.637 states/eV/atom

The structure in POSCAR format:
```
NaCePmSn
1.0
0.000 3.875 3.875
3.875 0.000 3.875
3.875 3.875 0.000
Na Ce Pm Sn
1 1 1 1
Direct
0.000 0.000 0.000 Na
0.750 0.750 0.750 Ce
0.250 0.250 0.250 Pm
0.500 0.500 0.500 Sn
```

Na3Ce2PmTe6 | PBE-GGA | relaxed

Output
formation energy (no corrections): -1.282 eV per atom
magnetic moment: 2.014 μB/f.u.
DOS(E_F): 1.108 states/eV/atom

The structure in POSCAR format:
```
Na3Ce2PmTe6
1.0
3.950 -6.843 0.000
3.950 6.843 0.000
-2.631 0.000 7.520
Na Ce Pm Te
3 2 1 6
Direct
0.000 0.000 0.000 Na
0.333 0.667 0.000 Na
0.667 0.333 0.000 Na
0.167 0.833 0.500 Ce
0.833 0.167 0.500 Ce
0.500 0.500 0.500 Pm
0.089 0.420 0.261 Te
0.248 0.248 0.739 Te
0.420 0.089 0.261 Te
0.580 0.911 0.739 Te
0.752 0.752 0.261 Te
0.911 0.580 0.739 Te
```

NaCe2Pm3Te6 | PBE-GGA | relaxed

Output
formation energy (no corrections): -1.374 eV per atom
magnetic moment: 2.409 μB/f.u.
DOS(E_F): 1.414 states/eV/atom

The structure in POSCAR format:
```
NaCe2Pm3Te6
1.0
9.798 -2.228 0.000
9.798 2.228 0.000
-2.138 0.000 8.783
Na Ce Pm Te
1 2 3 6
Direct
0.000 0.000 0.000 Na
0.332 0.332 0.664 Ce
0.668 0.668 0.336 Ce
0.000 0.000 0.500 Pm
0.334 0.334 0.172 Pm
0.666 0.666 0.828 Pm
0.165 0.165 0.583 Te
0.166 0.166 0.080 Te
0.499 0.499 0.750 Te
0.501 0.501 0.250 Te
0.834 0.834 0.920 Te
0.835 0.835 0.417 Te
```

NaCe3Pm2Te6 | PBE-GGA | relaxed

Output
formation energy (no corrections): -1.355 eV per atom
magnetic moment: 3.492 μB/f.u.
DOS(E_F): 1.932 states/eV/atom

The structure in POSCAR format:
```
NaCe3Pm2Te6
1.0
9.811 -2.236 0.000
9.811 2.236 0.000
-2.081 0.000 8.780
Na Ce Pm Te
1 3 2 6
Direct
0.000 0.000 0.000 Na
0.000 0.000 0.500 Ce
0.334 0.334 0.167 Ce
0.666 0.666 0.833 Ce
0.331 0.331 0.659 Pm
0.669 0.669 0.341 Pm
0.166 0.166 0.087 Te
0.166 0.166 0.584 Te
0.498 0.498 0.751 Te
0.502 0.502 0.249 Te
0.834 0.834 0.416 Te
0.834 0.834 0.913 Te
```

NaCePr2 | PBE-GGA | relaxed

Output
energy of formation from the pure elements: 0.115 eV/atom
ΔE to the lowest computed polymorph: 0 meV per atom
magnetic moment: 0.262 μB/f.u.
DOS(E_F): 1.286 states/eV/atom

The structure in POSCAR format:
```
NaCePr2
1.0
3.570 0.000 0.000
0.000 3.570 0.000
0.000 0.000 10.701
Na Ce Pr
1 1 2
Direct
0.000 0.000 0.000 Na
0.000 0.000 0.500 Ce
0.500 0.500 0.276 Pr
0.500 0.500 0.724 Pr
```

Number 2 is which compound?
NaCePmSn

Among the records above, which one has the lowest magnetic moment?
NaCePr2